## K2TiF5 (meta-GGA SCAN)

Data for a crystal of K2TiF5 relaxed with PBEsol.

Unit cell a=5.972 b=7.569 c=10.650 alpha=90.00 beta=90.00 gamma=90.00
Element x y z (fractional)
K: 0.014 0.250 0.137
K: 0.084 0.750 0.202
K: 0.416 0.250 0.702
K: 0.486 0.750 0.637
K: 0.514 0.250 0.363
K: 0.584 0.750 0.298
K: 0.916 0.250 0.798
K: 0.986 0.750 0.863
Ti: 0.000 0.000 0.500
Ti: 0.000 0.500 0.500
Ti: 0.500 0.000 0.000
Ti: 0.500 0.500 0.000
F: 0.108 0.250 0.506
F: 0.124 0.528 0.670
F: 0.124 0.972 0.670
F: 0.212 0.064 0.930
F: 0.212 0.436 0.930
F: 0.288 0.564 0.430
F: 0.288 0.936 0.430
F: 0.376 0.028 0.170
F: 0.376 0.472 0.170
F: 0.392 0.750 0.006
F: 0.608 0.250 0.994
F: 0.624 0.528 0.830
F: 0.624 0.972 0.830
F: 0.712 0.064 0.570
F: 0.712 0.436 0.570
F: 0.788 0.564 0.070
F: 0.788 0.936 0.070
F: 0.876 0.028 0.330
F: 0.876 0.472 0.330
F: 0.892 0.750 0.494

ΔE_f (raw)   -3.345 eV per atom
Crystal system   orthorhombic
Total DFT energy (no corrections)   -9.64 eV/atom
Mass density   3.05 Mg/m³